No. 1
Computed, not measured: a relaxed structure of BaNaAcPb at the PBE-GGA level of DFT.

abc: 6.0292 6.0292 6.0292
angles: 60.00 60.00 60.00
Closest atoms and distances in Å follow each position.
Fractional positions:
Ba 0.0000 0.0000 0.0000  4 Pb 3.69, 4 Na 3.69
Na 0.2500 0.2500 0.2500  4 Ba 3.69, 4 Ac 3.69
Ac 0.5000 0.5000 0.5000  4 Pb 3.69, 4 Na 3.69
Pb 0.7500 0.7500 0.7500  4 Ba 3.69, 4 Ac 3.69

Results
E: -12.11 eV for the cell shown
Formation energy from the elements: -25.3 kJ per mole of atoms

---

No. 2
Computed, not measured: a relaxed structure of CeGdHgGe at the PBE-GGA level of DFT.

abc: 5.2448 5.2448 5.2448
angles: 60.00 60.00 60.00
Closest atoms and distances in Å follow each position.
Fractional positions:
Ce 0.0000 0.0000 0.0000  4 Hg 3.21, 4 Ge 3.21
Gd 0.5000 0.5000 0.5000  4 Ge 3.21, 4 Hg 3.21
Hg 0.7500 0.7500 0.7500  4 Gd 3.21, 4 Ce 3.21
Ge 0.2500 0.2500 0.2500  4 Gd 3.21, 4 Ce 3.21

Results
E: -26.96 eV for the cell shown
Formation energy from the elements: -48.9 kJ per mole of atoms

---

No. 3
Computed, not measured: a relaxed structure of Sc4Cu2PdRh at the PBE-GGA level of DFT.

abc: 8.0165 8.0165 8.0165
angles: 33.53 33.53 33.53
Closest atoms and distances in Å follow each position.
Fractional positions:
Sc 0.1232 0.1232 0.1232  1 Rh 2.79, 4 Cu 2.82-2.88, 3 Pd 2.85
Sc 0.3732 0.3732 0.3732  4 Cu 2.79-2.84, 3 Rh 2.82, 1 Pd 2.87
Sc 0.6268 0.6268 0.6268  4 Cu 2.79-2.84, 3 Rh 2.82, 1 Pd 2.87
Sc 0.8768 0.8768 0.8768  1 Rh 2.79, 4 Cu 2.82-2.88, 3 Pd 2.85
Cu 0.2502 0.2502 0.2502  8 Sc 2.79-2.88
Cu 0.7498 0.7498 0.7498  8 Sc 2.79-2.88
Pd 0.5000 0.5000 0.5000  8 Sc 2.85-2.87
Rh 0.0000 0.0000 0.0000  8 Sc 2.79-2.82

Results
E: -51.02 eV for the cell shown
Formation energy from the elements: -59.8 kJ per mole of atoms